DFT (PBE-GGA) results for a relaxed structure of LaSm2AuO6.

The structure belongs to space group P-1 (No. 2); the cell edges are 3.794, 5.683 and 7.004 Å and the angles 91.42°, 103.74° and 90.98°. Symmetry generates all atoms from La at (0.000, 0.000, 0.000), Sm at (0.385, 0.477, 0.731), Au at (0.000, 0.000, 0.500), O at (0.139, 0.775, 0.305), O at (0.153, 0.292, 0.372) and O at (0.489, 0.740, 0.987).

The total energy is -0.5440 Ry/atom.

***

DFT (PBE-GGA) results for a relaxed structure of LiBeZnSn.

The structure belongs to space group F-43m (No. 216); the cell edges are 6.257, 6.257 and 6.257 Å and the angles 90.00°, 90.00° and 90.00°. Symmetry generates all atoms from Li at (0.000, 0.000, 0.000), Be at (0.000, 0.000, 0.500), Zn at (0.250, 0.250, 0.750) and Sn at (0.250, 0.250, 0.250).

The value obtained for the energy above the most stable polymorph in this dataset is 0 meV per atom.

***

DFT (PBE-GGA) results for a relaxed structure of Rb3NbBr6.

The structure belongs to space group R-3m (No. 166, hexagonal axes); the cell edges are 7.7396, 7.7396 and 23.8015 Å and the angles 90.00°, 90.00° and 120.00°. Symmetry generates all atoms from Rb at (0.0000, 0.0000, 0.0000), Rb at (0.0000, 0.0000, 0.2121), Nb at (0.0000, 0.0000, 0.5000) and Br at (0.0126, 0.5063, 0.2318).

The total energy is -0.2675 Ry/atom.

***

DFT (PBE-GGA) results for a relaxed structure of AlCuAgOs.

The structure belongs to space group F-43m (No. 216); the cell edges are 6.163, 6.163 and 6.163 Å and the angles 90.00°, 90.00° and 90.00°. Symmetry generates all atoms from Al at (0.000, 0.000, 0.000), Cu at (0.250, 0.250, 0.250), Ag at (0.000, 0.000, 0.500) and Os at (0.250, 0.250, 0.750).

The value obtained for the energy above the most stable polymorph in this dataset is 0 meV per atom.

***

Computed values of calculated volume (unit: Å³ per cell) for the preceding records, in sequence: 146.61 244.94 1234.73 234.06.